1.
DFT (PBE) results for crystalline Rb2Tl3ZnIn4 at its relaxed geometry.

Cell lengths 5.1408, 5.1408, 12.6300 Å; angles 90.00, 90.00, 90.00 degrees
Fractional positions:
Rb 0.5000 0.0000 0.2566
Rb 0.0000 0.5000 0.7434
Tl 0.0000 0.0000 0.5000
Tl 0.5000 0.0000 0.8589
Tl 0.0000 0.5000 0.1411
Zn 0.5000 0.5000 0.5000
In 0.5000 0.5000 0.0000
In 0.0000 0.0000 0.0000
In 0.5000 0.0000 0.6184
In 0.0000 0.5000 0.3816

Computed properties:
- Space group: P-4m2 (115)
- Crystal system: tetragonal


2.
DFT (PBE) results for crystalline RbTlZnIn2 at its relaxed geometry.

Cell lengths 5.3268, 5.3268, 6.0205 Å; angles 90.00, 90.00, 90.00 degrees
Fractional positions:
Tl 0.0000 0.0000 0.5000
Zn 0.0000 0.0000 0.0000
Rb 0.5000 0.5000 0.5000
In 0.0000 0.5000 0.0000
In 0.5000 0.0000 0.0000

Computed properties:
- Space group: P4/mmm (123)
- Crystal system: tetragonal


3.
DFT (PBE) results for crystalline Rb2Tl6ZnIn at its relaxed geometry.

Cell lengths 6.9401, 9.8006, 10.8750 Å; angles 90.00, 90.00, 90.00 degrees
Fractional positions:
Rb 0.5000 0.7186 0.2788
Rb 0.0000 0.2814 0.7788
Rb 0.5000 0.7186 0.7212
Rb 0.0000 0.2814 0.2212
Tl 0.5000 0.1251 0.2510
Tl 0.5000 0.1251 0.7490
Tl 0.0000 0.8749 0.2490
Tl 0.0000 0.8749 0.7510
Tl 0.2383 0.0108 0.5000
Tl 0.7617 0.0108 0.5000
Tl 0.2490 0.4564 0.5000
Tl 0.7510 0.4564 0.5000
Tl 0.7490 0.5436 0.0000
Tl 0.2510 0.5436 0.0000
Tl 0.2617 0.9892 0.0000
Tl 0.7383 0.9892 0.0000
Zn 0.5000 0.2399 0.5000
Zn 0.0000 0.7601 0.0000
In 0.0000 0.7120 0.5000
In 0.5000 0.2880 0.0000

Computed properties:
- Space group: Pmmn (59)
- Crystal system: orthorhombic


4.
DFT (PBE) results for crystalline RbTmIn2 at its relaxed geometry.

Cell lengths 3.8362, 3.8362, 8.9032 Å; angles 90.00, 90.00, 90.00 degrees
Fractional positions:
Tm 0.5000 0.5000 0.0000
Rb 0.5000 0.5000 0.5000
In 0.0000 0.0000 0.8084
In 0.0000 0.0000 0.1916

Computed properties:
- Space group: P4/mmm (123)
- Crystal system: tetragonal


no.,ΔE_f (meV per atom),M_tot (μB per formula unit),DOS at the Fermi energy (states/eV/f.u.)
1,-36,0.0,6.02
2,110,0.0,3.02
3,42,0.0,4.44
4,-186,0.0,2.74